# MoPtI2O, relaxed, DFT PBE with a Hubbard U
data_MoPtI2O
_chemical_formula_sum 'Mo1 Pt1 I2 O1'
_space_group_name_H-M_alt 'P 1'
_space_group_IT_number 1
_cell_length_a 5.771
_cell_length_b 5.771
_cell_length_c 3.835
_cell_angle_alpha 90.00
_cell_angle_beta 90.00
_cell_angle_gamma 90.00
loop_
_space_group_symop_operation_xyz
'x,y,z'
loop_
_atom_site_label
_atom_site_fract_x
_atom_site_fract_y
_atom_site_fract_z
I1 0.000 0.500 0.000
I2 0.500 0.000 0.000
Mo1 0.500 0.500 0.500
O1 0.000 0.000 0.500
Pt1 0.000 0.000 0.000
# SG: No. 123
# relative energy among the computed polymorphs: 0.090 eV per atom

# Rb2MoI6O, relaxed, DFT PBE with a Hubbard U
data_Rb2MoI6O
_chemical_formula_sum 'Rb2 Mo1 I6 O1'
_space_group_name_H-M_alt 'P 1'
_space_group_IT_number 1
_cell_length_a 9.076
_cell_length_b 9.076
_cell_length_c 8.172
_cell_angle_alpha 56.27
_cell_angle_beta 56.27
_cell_angle_gamma 90.00
loop_
_space_group_symop_operation_xyz
'x,y,z'
loop_
_atom_site_label
_atom_site_fract_x
_atom_site_fract_y
_atom_site_fract_z
I1 0.288 0.288 0.423
I2 0.712 0.712 0.577
I3 0.222 0.222 0.000
I4 0.778 0.778 0.000
I5 0.778 0.222 0.000
I6 0.222 0.778 0.000
Mo1 0.000 0.000 0.000
O1 0.500 0.500 0.000
Rb1 0.750 0.250 0.500
Rb2 0.250 0.750 0.500
# raw total energy: -2.864 eV/atom
# SG: No. 139

# RbMoIO6, relaxed, DFT PBE with a Hubbard U
data_RbMoIO6
_chemical_formula_sum 'Rb4 Mo4 I4 O24'
_space_group_name_H-M_alt 'P 1'
_space_group_IT_number 1
_cell_length_a 7.492
_cell_length_b 7.827
_cell_length_c 10.488
_cell_angle_alpha 90.00
_cell_angle_beta 90.00
_cell_angle_gamma 90.00
loop_
_space_group_symop_operation_xyz
'x,y,z'
loop_
_atom_site_label
_atom_site_fract_x
_atom_site_fract_y
_atom_site_fract_z
Rb1 0.867 0.013 0.621
Rb2 0.367 0.987 0.379
Rb3 0.867 0.513 0.879
Rb4 0.367 0.487 0.121
Mo1 0.094 0.507 0.528
Mo2 0.594 0.493 0.472
Mo3 0.094 0.007 0.972
Mo4 0.594 0.993 0.028
I1 0.429 0.276 0.740
I2 0.929 0.224 0.240
I3 0.929 0.724 0.260
I4 0.429 0.776 0.760
O1 0.047 0.282 0.388
O2 0.632 0.359 0.658
O3 0.047 0.782 0.112
O4 0.533 0.136 0.149
O5 0.132 0.141 0.158
O6 0.033 0.864 0.851
O7 0.132 0.699 0.611
O8 0.339 0.436 0.517
O9 0.547 0.718 0.612
O10 0.632 0.859 0.842
O11 0.632 0.801 0.111
O12 0.033 0.364 0.649
O13 0.533 0.636 0.351
O14 0.417 0.569 0.843
O15 0.417 0.069 0.657
O16 0.839 0.564 0.483
O17 0.917 0.431 0.157
O18 0.339 0.936 0.983
O19 0.547 0.218 0.888
O20 0.917 0.931 0.343
O21 0.132 0.641 0.342
O22 0.132 0.199 0.889
O23 0.839 0.064 0.017
O24 0.632 0.301 0.389
# SG: No. 33
# relative energy among the computed polymorphs: 0.000 eV per atom

# RbMoIO6, relaxed, DFT PBE with a Hubbard U
data_RbMoIO6
_chemical_formula_sum 'Rb1 Mo1 I1 O6'
_space_group_name_H-M_alt 'P 1'
_space_group_IT_number 1
_cell_length_a 5.825
_cell_length_b 5.826
_cell_length_c 6.158
_cell_angle_alpha 91.08
_cell_angle_beta 88.94
_cell_angle_gamma 55.11
loop_
_space_group_symop_operation_xyz
'x,y,z'
loop_
_atom_site_label
_atom_site_fract_x
_atom_site_fract_y
_atom_site_fract_z
Rb1 0.993 0.993 0.000
Mo1 0.654 0.654 0.500
I1 0.316 0.316 0.500
O1 0.029 0.355 0.324
O2 0.355 0.029 0.676
O3 0.572 0.501 0.711
O4 0.976 0.604 0.673
O5 0.501 0.572 0.290
O6 0.603 0.976 0.327
# SG: No. 5
# relative energy among the computed polymorphs: 0.063 eV per atom

# Re2MoIO, relaxed, DFT PBE with a Hubbard U
data_Re2MoIO
_chemical_formula_sum 'Re2 Mo1 I1 O1'
_space_group_name_H-M_alt 'P 1'
_space_group_IT_number 1
_cell_length_a 4.009
_cell_length_b 5.863
_cell_length_c 4.009
_cell_angle_alpha 90.00
_cell_angle_beta 90.00
_cell_angle_gamma 90.00
loop_
_space_group_symop_operation_xyz
'x,y,z'
loop_
_atom_site_label
_atom_site_fract_x
_atom_site_fract_y
_atom_site_fract_z
I1 0.000 0.500 0.000
Re1 0.000 0.000 0.500
Re2 0.500 0.000 0.000
Mo1 0.500 0.500 0.500
O1 0.000 0.000 0.000
# raw total energy: -6.659 eV/atom
# SG: No. 123

# MoRhI2O, relaxed, DFT PBE with a Hubbard U
data_MoRhI2O
_chemical_formula_sum 'Mo1 Rh1 I2 O1'
_space_group_name_H-M_alt 'P 1'
_space_group_IT_number 1
_cell_length_a 5.723
_cell_length_b 5.723
_cell_length_c 3.760
_cell_angle_alpha 90.00
_cell_angle_beta 90.00
_cell_angle_gamma 90.00
loop_
_space_group_symop_operation_xyz
'x,y,z'
loop_
_atom_site_label
_atom_site_fract_x
_atom_site_fract_y
_atom_site_fract_z
I1 0.000 0.500 0.000
I2 0.500 0.000 0.000
Mo1 0.500 0.500 0.500
Rh1 0.000 0.000 0.000
O1 0.000 0.000 0.500
# SG: No. 123
# relative energy among the computed polymorphs: 0.000 eV per atom

# MoRhIO2, relaxed, DFT PBE with a Hubbard U
data_MoRhIO2
_chemical_formula_sum 'Mo1 Rh1 I1 O2'
_space_group_name_H-M_alt 'P 1'
_space_group_IT_number 1
_cell_length_a 3.845
_cell_length_b 3.845
_cell_length_c 7.372
_cell_angle_alpha 90.00
_cell_angle_beta 90.00
_cell_angle_gamma 90.00
loop_
_space_group_symop_operation_xyz
'x,y,z'
loop_
_atom_site_label
_atom_site_fract_x
_atom_site_fract_y
_atom_site_fract_z
I1 0.000 0.000 0.500
Mo1 0.000 0.000 0.000
Rh1 0.500 0.500 0.500
O1 0.000 0.500 0.000
O2 0.500 0.000 0.000
# SG: No. 123
# relative energy among the computed polymorphs: 0.000 eV per atom

# MoRhIO2, relaxed, DFT PBE with a Hubbard U
data_MoRhIO2
_chemical_formula_sum 'Mo1 Rh1 I1 O2'
_space_group_name_H-M_alt 'P 1'
_space_group_IT_number 1
_cell_length_a 3.979
_cell_length_b 3.979
_cell_length_c 6.181
_cell_angle_alpha 90.00
_cell_angle_beta 90.00
_cell_angle_gamma 90.00
loop_
_space_group_symop_operation_xyz
'x,y,z'
loop_
_atom_site_label
_atom_site_fract_x
_atom_site_fract_y
_atom_site_fract_z
I1 0.000 0.000 0.500
Mo1 0.500 0.500 0.500
Rh1 0.000 0.000 0.000
O1 0.000 0.500 0.000
O2 0.500 0.000 0.000
# SG: No. 123
# relative energy among the computed polymorphs: 0.641 eV per atom

# MoRhI2O, relaxed, DFT PBE with a Hubbard U
data_MoRhI2O
_chemical_formula_sum 'Mo1 Rh1 I2 O1'
_space_group_name_H-M_alt 'P 1'
_space_group_IT_number 1
_cell_length_a 5.762
_cell_length_b 5.762
_cell_length_c 3.822
_cell_angle_alpha 90.00
_cell_angle_beta 90.00
_cell_angle_gamma 90.00
loop_
_space_group_symop_operation_xyz
'x,y,z'
loop_
_atom_site_label
_atom_site_fract_x
_atom_site_fract_y
_atom_site_fract_z
I1 0.000 0.500 0.000
I2 0.500 0.000 0.000
Mo1 0.000 0.000 0.000
Rh1 0.500 0.500 0.500
O1 0.000 0.000 0.500
# SG: No. 123
# relative energy among the computed polymorphs: 0.068 eV per atom

# MoRuI2O, relaxed, DFT PBE with a Hubbard U
data_MoRuI2O
_chemical_formula_sum 'Mo1 Ru1 I2 O1'
_space_group_name_H-M_alt 'P 1'
_space_group_IT_number 1
_cell_length_a 5.661
_cell_length_b 5.661
_cell_length_c 3.759
_cell_angle_alpha 90.00
_cell_angle_beta 90.00
_cell_angle_gamma 90.00
loop_
_space_group_symop_operation_xyz
'x,y,z'
loop_
_atom_site_label
_atom_site_fract_x
_atom_site_fract_y
_atom_site_fract_z
I1 0.000 0.500 0.000
I2 0.500 0.000 0.000
Ru1 0.000 0.000 0.000
Mo1 0.500 0.500 0.500
O1 0.000 0.000 0.500
# SG: No. 123
# relative energy among the computed polymorphs: 0.000 eV per atom

# MoRuI2O, relaxed, DFT PBE with a Hubbard U
data_MoRuI2O
_chemical_formula_sum 'Mo1 Ru1 I2 O1'
_space_group_name_H-M_alt 'P 1'
_space_group_IT_number 1
_cell_length_a 5.764
_cell_length_b 5.764
_cell_length_c 3.813
_cell_angle_alpha 90.00
_cell_angle_beta 90.00
_cell_angle_gamma 90.00
loop_
_space_group_symop_operation_xyz
'x,y,z'
loop_
_atom_site_label
_atom_site_fract_x
_atom_site_fract_y
_atom_site_fract_z
I1 0.000 0.500 0.000
I2 0.500 0.000 0.000
Ru1 0.500 0.500 0.500
Mo1 0.000 0.000 0.000
O1 0.000 0.000 0.500
# SG: No. 123
# relative energy among the computed polymorphs: 0.372 eV per atom

# MoSIO2, relaxed, DFT PBE with a Hubbard U
data_MoSIO2
_chemical_formula_sum 'Mo1 S1 I1 O2'
_space_group_name_H-M_alt 'P 1'
_space_group_IT_number 1
_cell_length_a 3.892
_cell_length_b 3.892
_cell_length_c 7.542
_cell_angle_alpha 90.00
_cell_angle_beta 90.00
_cell_angle_gamma 90.00
loop_
_space_group_symop_operation_xyz
'x,y,z'
loop_
_atom_site_label
_atom_site_fract_x
_atom_site_fract_y
_atom_site_fract_z
I1 0.000 0.000 0.500
Mo1 0.000 0.000 0.000
S1 0.500 0.500 0.500
O1 0.000 0.500 0.000
O2 0.500 0.000 0.000
# raw total energy: -5.031 eV/atom
# SG: No. 123